The following is a DFT calculation (PBE-GGA) of NaLa2InFe after structural relaxation.

Output
Crystal system ... tetragonal
Symmetry ... P4/mmm (123)
Magnetization ... 0.0 μB/f.u.
DOS(E_F) ... 5.8 states/eV/cell
ΔE_f ... -7 kJ/mol of atoms

Cell: 5.264 5.264 5.218 Å, 90.00 90.00 90.00°
Atoms (fractional coordinates):
Na1 0.000 0.000 0.000
La1 0.000 0.500 0.500
La2 0.500 0.000 0.500
In1 0.500 0.500 0.000
Fe1 0.500 0.500 0.500



The following is a DFT calculation (PBE-GGA) of La3NdInFe after structural relaxation.

Output
Crystal system ... monoclinic
Symmetry ... C2/m (12)
Magnetization ... 0.0 μB/f.u.
DOS(E_F) ... 10.6 states/eV/cell
ΔE_f ... -17 kJ/mol of atoms

Cell: 9.340 9.340 6.121 Å, 108.88 108.88 45.74°
Atoms (fractional coordinates):
La1 0.123 0.639 0.892
La2 0.310 0.310 0.297
La3 0.361 0.877 0.108
La4 0.639 0.123 0.892
La5 0.690 0.690 0.703
La6 0.877 0.361 0.108
Nd1 0.235 0.765 0.500
Nd2 0.765 0.235 0.500
In1 0.192 0.192 0.690
In2 0.808 0.808 0.310
Fe1 0.476 0.476 0.151
Fe2 0.524 0.524 0.849



The following is a DFT calculation (PBE-GGA) of La2InFePb after structural relaxation.

Output
Crystal system ... tetragonal
Symmetry ... P4/mmm (123)
Magnetization ... 0.2 μB/f.u.
DOS(E_F) ... 4.7 states/eV/cell
ΔE_f ... -30 kJ/mol of atoms

Cell: 5.176 5.176 5.107 Å, 90.00 90.00 90.00°
Atoms (fractional coordinates):
La1 0.000 0.500 0.000
La2 0.500 0.000 0.000
In1 0.000 0.000 0.500
Fe1 0.000 0.000 0.000
Pb1 0.500 0.500 0.500



The following is a DFT calculation (PBE-GGA) of LaIn2FeRh after structural relaxation.

Output
Crystal system ... tetragonal
Symmetry ... P4/mmm (123)
Magnetization ... 3.6 μB/f.u.
DOS(E_F) ... 5.4 states/eV/cell
ΔE_f ... 0 kJ/mol of atoms

Cell: 5.060 5.060 4.883 Å, 90.00 90.00 90.00°
Atoms (fractional coordinates):
La1 0.000 0.000 0.000
In1 0.000 0.500 0.500
In2 0.500 0.000 0.500
Fe1 0.500 0.500 0.000
Rh1 0.500 0.500 0.500



The following is a DFT calculation (PBE-GGA) of La3InFeS7 after structural relaxation.

Output
Crystal system ... hexagonal
Symmetry ... P6_3 (173)
E_form (uncorrected) ... -1.51 eV per atom
Magnetization ... 0.0 μB/f.u.

Cell: 10.034 10.034 6.418 Å, 90.00 90.00 120.00°
Atoms (fractional coordinates):
La1 0.156 0.371 0.000
La2 0.215 0.844 0.000
La3 0.371 0.215 0.500
La4 0.629 0.785 0.000
La5 0.785 0.156 0.500
La6 0.844 0.629 0.500
In1 0.333 0.667 0.430
In2 0.667 0.333 0.930
Fe1 0.000 0.000 0.358
Fe2 0.000 0.000 0.858
S1 0.077 0.562 0.265
S2 0.087 0.203 0.609
S3 0.115 0.913 0.609
S4 0.203 0.115 0.109
S5 0.333 0.667 0.807
S6 0.438 0.516 0.265
S7 0.484 0.923 0.265
S8 0.516 0.077 0.765
S9 0.562 0.484 0.765
S10 0.667 0.333 0.307
S11 0.797 0.885 0.609
S12 0.885 0.087 0.109
S13 0.913 0.797 0.109
S14 0.923 0.438 0.765



The following is a DFT calculation (PBE-GGA) of LaInFe2Se after structural relaxation.

Output
Crystal system ... tetragonal
Symmetry ... P4/mmm (123)
E_form (uncorrected) ... 1.04 eV per atom
Magnetization ... 4.0 μB/f.u.
DOS(E_F) ... 5.8 states/eV/cell

Cell: 4.685 4.685 5.551 Å, 90.00 90.00 90.00°
Atoms (fractional coordinates):
La1 0.000 0.000 0.000
In1 0.500 0.500 0.500
Fe1 0.000 0.500 0.000
Fe2 0.500 0.000 0.000
Se1 0.000 0.000 0.500



The following is a DFT calculation (PBE-GGA) of SrLa2InFe after structural relaxation.

Output
Crystal system ... tetragonal
Symmetry ... P4/mmm (123)
Magnetization ... 0.0 μB/f.u.
DOS(E_F) ... 4.8 states/eV/cell
ΔE_f ... -8 kJ/mol of atoms
Distance to the lowest polymorph of the same formula ... 0.000 eV per atom

Cell: 5.319 5.319 5.379 Å, 90.00 90.00 90.00°
Atoms (fractional coordinates):
Sr1 0.000 0.000 0.000
La1 0.000 0.500 0.500
La2 0.500 0.000 0.500
In1 0.500 0.500 0.000
Fe1 0.500 0.500 0.500



The following is a DFT calculation (PBE-GGA) of SrLa2InFe after structural relaxation.

Output
Crystal system ... tetragonal
Symmetry ... P4/mmm (123)
Magnetization ... 1.4 μB/f.u.
DOS(E_F) ... 7.8 states/eV/cell
ΔE_f ... 50 kJ/mol of atoms
Distance to the lowest polymorph of the same formula ... 0.603 eV per atom

Cell: 6.161 6.161 5.006 Å, 90.00 90.00 90.00°
Atoms (fractional coordinates):
Sr1 0.000 0.000 0.000
La1 0.000 0.500 0.500
La2 0.500 0.000 0.500
In1 0.500 0.500 0.500
Fe1 0.500 0.500 0.000



The following is a DFT calculation (PBE-GGA) of LaInFeTc2 after structural relaxation.

Output
Crystal system ... tetragonal
Symmetry ... P4/mmm (123)
Magnetization ... 3.7 μB/f.u.
DOS(E_F) ... 9.4 states/eV/cell
ΔE_f ... 214 kJ/mol of atoms

Cell: 4.943 4.943 5.678 Å, 90.00 90.00 90.00°
Atoms (fractional coordinates):
La1 0.000 0.000 0.000
In1 0.000 0.000 0.500
Fe1 0.500 0.500 0.000
Tc1 0.000 0.500 0.500
Tc2 0.500 0.000 0.500



The following is a DFT calculation (PBE-GGA) of LaInFe2Te after structural relaxation.

Output
Crystal system ... tetragonal
Symmetry ... P4/mmm (123)
E_form (uncorrected) ... 1.04 eV per atom
Magnetization ... 5.8 μB/f.u.
DOS(E_F) ... 4.2 states/eV/cell

Cell: 5.182 5.182 6.110 Å, 90.00 90.00 90.00°
Atoms (fractional coordinates):
La1 0.000 0.000 0.000
In1 0.500 0.500 0.500
Fe1 0.000 0.500 0.000
Fe2 0.500 0.000 0.000
Te1 0.000 0.000 0.500



The following is a DFT calculation (PBE-GGA) of LaTiIn2Fe after structural relaxation.

Output
Crystal system ... tetragonal
Symmetry ... P4/mmm (123)
Magnetization ... 0.3 μB/f.u.
DOS(E_F) ... 8.5 states/eV/cell
ΔE_f ... 134 kJ/mol of atoms

Cell: 5.850 5.850 4.329 Å, 90.00 90.00 90.00°
Atoms (fractional coordinates):
La1 0.000 0.000 0.000
Ti1 0.500 0.500 0.500
In1 0.000 0.500 0.000
In2 0.500 0.000 0.000
Fe1 0.000 0.000 0.500



The following is a DFT calculation (PBE-GGA) of LaTlIn2Fe after structural relaxation.

Output
Crystal system ... tetragonal
Symmetry ... P4/mmm (123)
Magnetization ... 0.3 μB/f.u.
DOS(E_F) ... 3.4 states/eV/cell
ΔE_f ... -14 kJ/mol of atoms

Cell: 5.133 5.133 4.961 Å, 90.00 90.00 90.00°
Atoms (fractional coordinates):
La1 0.000 0.000 0.000
Tl1 0.500 0.500 0.000
In1 0.000 0.500 0.500
In2 0.500 0.000 0.500
Fe1 0.000 0.000 0.500



The following is a DFT calculation (PBE-GGA) of La2YInFe after structural relaxation.

Output
Crystal system ... tetragonal
Symmetry ... P4/mmm (123)
Magnetization ... 0.0 μB/f.u.
DOS(E_F) ... 6.3 states/eV/cell
ΔE_f ... -16 kJ/mol of atoms

Cell: 5.100 5.100 5.481 Å, 90.00 90.00 90.00°
Atoms (fractional coordinates):
La1 0.000 0.500 0.000
La2 0.500 0.000 0.000
Y1 0.000 0.000 0.500
In1 0.500 0.500 0.500
Fe1 0.000 0.000 0.000



The following is a DFT calculation (PBE-GGA) of La6ZnIn2Fe after structural relaxation.

Output
Crystal system ... triclinic
Symmetry ... P1 (1)
Magnetization ... 0.0 μB/f.u.
DOS(E_F) ... 11.7 states/eV/cell
ΔE_f ... -18 kJ/mol of atoms

Cell: 6.866 6.868 6.869 Å, 77.12 77.01 77.07°
Atoms (fractional coordinates):
La1 0.000 0.000 0.000
La2 0.057 0.523 0.920
La3 0.227 0.378 0.395
La4 0.524 0.830 0.144
La5 0.607 0.773 0.620
La6 0.749 0.297 0.450
Zn1 0.406 0.178 0.800
In1 0.105 0.877 0.500
In2 0.595 0.368 0.989
Fe1 0.911 0.685 0.305



The following is a DFT calculation (PBE-GGA) of LiInFe2 after structural relaxation.

Output
Crystal system ... monoclinic
Symmetry ... Pm (6)
Magnetization ... 4.7 μB/f.u.
DOS(E_F) ... 2.5 states/eV/cell
ΔE_f ... 18 kJ/mol of atoms

Cell: 2.745 3.918 5.559 Å, 90.00 102.25 90.00°
Atoms (fractional coordinates):
Li1 0.000 0.000 0.000
In1 0.452 0.500 0.725
Fe1 0.465 0.500 0.240
Fe2 0.872 0.000 0.442



The following is a DFT calculation (PBE-GGA) of LiIn2Fe after structural relaxation.

Output
Crystal system ... monoclinic
Symmetry ... Cm (8)
Magnetization ... 2.2 μB/f.u.
DOS(E_F) ... 2.2 states/eV/cell
ΔE_f ... 9 kJ/mol of atoms

Cell: 5.401 5.401 4.751 Å, 106.67 106.67 32.90°
Atoms (fractional coordinates):
Li1 0.000 0.000 0.000
In1 0.239 0.239 0.838
In2 0.470 0.470 0.460
Fe1 0.731 0.731 0.336



The following is a DFT calculation (PBE-GGA) of Li2In2Fe after structural relaxation.

Output
Crystal system ... tetragonal
Symmetry ... P4/mbm (127)
Magnetization ... 2.5 μB/f.u.
DOS(E_F) ... 5.6 states/eV/cell
ΔE_f ... 13 kJ/mol of atoms

Cell: 7.478 7.478 3.204 Å, 90.00 90.00 90.00°
Atoms (fractional coordinates):
Li1 0.150 0.350 0.000
Li2 0.350 0.850 0.000
Li3 0.650 0.150 0.000
Li4 0.850 0.650 0.000
In1 0.152 0.652 0.500
In2 0.348 0.152 0.500
In3 0.652 0.848 0.500
In4 0.848 0.348 0.500
Fe1 0.000 0.000 0.500
Fe2 0.500 0.500 0.500



The following is a DFT calculation (PBE-GGA) of LiInFe2 after structural relaxation.

Output
Crystal system ... orthorhombic
Symmetry ... Cmmm (65)
Magnetization ... 4.8 μB/f.u.
DOS(E_F) ... 2.6 states/eV/cell
ΔE_f ... 26 kJ/mol of atoms

Cell: 4.904 4.904 2.709 Å, 90.00 90.00 115.64°
Atoms (fractional coordinates):
Li1 0.000 0.000 0.000
In1 0.500 0.500 0.000
Fe1 0.000 0.500 0.500
Fe2 0.500 0.000 0.500



The following is a DFT calculation (PBE-GGA) of LiIn2Fe after structural relaxation.

Output
Crystal system ... cubic
Symmetry ... F-43m (216)
Magnetization ... 2.5 μB/f.u.
DOS(E_F) ... 5.2 states/eV/cell
ΔE_f ... 25 kJ/mol of atoms

Cell: 4.717 4.717 4.717 Å, 60.00 60.00 60.00°
Atoms (fractional coordinates):
Li1 0.000 0.000 0.000
In1 0.250 0.250 0.250
In2 0.500 0.500 0.500
Fe1 0.750 0.750 0.750



The following is a DFT calculation (PBE-GGA) of LiIn2Fe after structural relaxation.

Output
Crystal system ... orthorhombic
Symmetry ... Pmm2 (25)
Magnetization ... 2.4 μB/f.u.
DOS(E_F) ... 2.6 states/eV/cell
ΔE_f ... 15 kJ/mol of atoms

Cell: 3.144 4.123 5.742 Å, 90.00 90.00 90.00°
Atoms (fractional coordinates):
Li1 0.000 0.000 0.000
In1 0.000 0.000 0.454
In2 0.500 0.500 0.784
Fe1 0.500 0.500 0.263



The following is a DFT calculation (PBE-GGA) of LiIn2Fe after structural relaxation.

Output
Crystal system ... tetragonal
Symmetry ... P4/mmm (123)
Magnetization ... 2.3 μB/f.u.
DOS(E_F) ... 2.5 states/eV/cell
ΔE_f ... 3 kJ/mol of atoms

Cell: 4.744 4.744 3.087 Å, 90.00 90.00 90.00°
Atoms (fractional coordinates):
Li1 0.000 0.000 0.000
In1 0.000 0.500 0.500
In2 0.500 0.000 0.500
Fe1 0.500 0.500 0.000



The following is a DFT calculation (PBE-GGA) of LiIn2Fe after structural relaxation.

Output
Crystal system ... monoclinic
Symmetry ... C2/m (12)
Magnetization ... 2.4 μB/f.u.
DOS(E_F) ... 2.6 states/eV/cell
ΔE_f ... 16 kJ/mol of atoms

Cell: 4.731 4.731 5.689 Å, 98.37 98.37 37.03°
Atoms (fractional coordinates):
Li1 0.000 0.000 0.000
In1 0.243 0.243 0.739
In2 0.757 0.757 0.261
Fe1 0.500 0.500 0.500



The following is a DFT calculation (PBE-GGA) of LiIn2Fe after structural relaxation.

Output
Crystal system ... tetragonal
Symmetry ... I-4m2 (119)
Magnetization ... 1.7 μB/f.u.
DOS(E_F) ... 3.5 states/eV/cell
ΔE_f ... 12 kJ/mol of atoms

Cell: 5.354 5.354 5.354 Å, 137.09 137.09 62.30°
Atoms (fractional coordinates):
Li1 0.000 0.000 0.000
In1 0.500 0.500 0.000
In2 0.750 0.250 0.500
Fe1 0.250 0.750 0.500



The following is a DFT calculation (PBE-GGA) of LiInFe2 after structural relaxation.

Output
Crystal system ... orthorhombic
Symmetry ... Pmmm (47)
Magnetization ... 4.8 μB/f.u.
DOS(E_F) ... 2.0 states/eV/cell
ΔE_f ... 14 kJ/mol of atoms

Cell: 3.646 3.688 4.217 Å, 90.00 90.00 90.00°
Atoms (fractional coordinates):
Li1 0.000 0.000 0.000
In1 0.500 0.500 0.000
Fe1 0.000 0.500 0.500
Fe2 0.500 0.000 0.500



The following is a DFT calculation (PBE-GGA) of LiInFe2 after structural relaxation.

Output
Crystal system ... orthorhombic
Symmetry ... Pmmm (47)
Magnetization ... 4.8 μB/f.u.
DOS(E_F) ... 2.3 states/eV/cell
ΔE_f ... 25 kJ/mol of atoms

Cell: 2.699 4.112 5.255 Å, 90.00 90.00 90.00°
Atoms (fractional coordinates):
Li1 0.000 0.000 0.000
In1 0.000 0.000 0.500
Fe1 0.500 0.500 0.231
Fe2 0.500 0.500 0.769



The following is a DFT calculation (PBE-GGA) of LiIn2Fe after structural relaxation.

Output
Crystal system ... tetragonal
Symmetry ... I-42d (122)
Magnetization ... 2.7 μB/f.u.
DOS(E_F) ... 3.3 states/eV/cell
ΔE_f ... 38 kJ/mol of atoms

Cell: 9.758 9.758 9.758 Å, 154.54 154.54 36.32°
Atoms (fractional coordinates):
Li1 0.000 0.000 0.000
Li2 0.750 0.250 0.500
In1 0.135 0.625 0.010
In2 0.375 0.385 0.510
In3 0.615 0.125 0.990
In4 0.875 0.865 0.490
Fe1 0.250 0.750 0.500
Fe2 0.500 0.500 0.000



The following is a DFT calculation (PBE-GGA) of LiIn3Fe after structural relaxation.

Output
Crystal system ... cubic
Symmetry ... Pm-3m (221)
Magnetization ... 0.0 μB/f.u.
DOS(E_F) ... 1.0 states/eV/cell
ΔE_f ... 10 kJ/mol of atoms
Distance to the lowest polymorph of the same formula ... 0.000 eV per atom

Cell: 4.974 4.974 4.974 Å, 90.00 90.00 90.00°
Atoms (fractional coordinates):
Li1 0.000 0.000 0.000
In1 0.000 0.500 0.500
In2 0.500 0.000 0.500
In3 0.500 0.500 0.000
Fe1 0.500 0.500 0.500